AcPN2 | PBE-GGA | relaxed

Cell: 3.0847 3.0847 20.9807 Å, 90.00 90.00 120.00°
With the nearest neighbours (Å) after each atom.
Space group R-3m (No. 166, hexagonal axes)
One atom of each set of equivalent atoms:
1 Ac 0.0000 0.0000 0.0000  2 N 2.58
2 P 0.0000 0.0000 0.5000  6 N 2.00
3 N 0.0000 0.0000 0.1231  3 P 2.00

- relative energy among the computed polymorphs (eV/atom) = 1.648
- calculated total energy (eV per atom) = -5.860
- formation energy from raw total energies (kJ/mol of atoms) = 66